(1)
Density functional theory data (GGA-PBE) for a relaxed SbW3C crystal.

Cell and atoms, written as extended XYZ:
```
5
Lattice="4.232 0.000 0.000 0.000 4.232 0.000 0.000 0.000 4.232" Properties=species:S:1:pos:R:3 pbc="T T T"
Sb 0.000 0.000 0.000
W 0.000 2.116 2.116
W 2.116 0.000 2.116
W 2.116 2.116 0.000
C 2.116 2.116 2.116
```

Properties
As for the space-group type: Pm-3m. The value obtained for the formation energy from raw total energies is 510 meV/atom. The calculation puts the energy above the most stable polymorph in this dataset at 0.0 meV/atom.

---

(2)
Density functional theory data (GGA-PBE) for a relaxed TaPRu2 crystal.

Cell and atoms, written as extended XYZ:
```
8
Lattice="8.438 0.000 0.000 0.000 2.875 0.000 -0.459 0.000 4.830" Properties=species:S:1:pos:R:3 pbc="T T T"
Ta 0.000 0.000 0.000
Ta 4.219 1.437 0.000
P -0.229 1.437 2.415
P 3.989 0.000 2.415
Ru 1.979 1.437 1.300
Ru 1.781 0.000 3.530
Ru 6.198 0.000 1.300
Ru 6.000 1.437 3.530
```

Properties
As for the space-group type: C2/m.

---

(3)
Density functional theory data (GGA-PBE) for a relaxed PmGdPuPb crystal.

Cell and atoms, written as extended XYZ:
```
16
Lattice="7.787 0.000 0.000 0.000 7.787 0.000 0.000 0.000 7.787" Properties=species:S:1:pos:R:3 pbc="T T T"
Pm 0.000 0.000 0.000
Pm 0.000 3.893 3.893
Pm 3.893 0.000 3.893
Pm 3.893 3.893 0.000
Gd 0.000 0.000 3.893
Gd 0.000 3.893 0.000
Gd 3.893 0.000 0.000
Gd 3.893 3.893 3.893
Pu 1.947 1.947 1.947
Pu 1.947 5.840 5.840
Pu 5.840 1.947 5.840
Pu 5.840 5.840 1.947
Pb 1.947 1.947 5.840
Pb 1.947 5.840 1.947
Pb 5.840 1.947 1.947
Pb 5.840 5.840 5.840
```

Properties
As for the space-group type: F-43m.

---

(4)
Density functional theory data (GGA-PBE) for a relaxed Sc6Tl2Pt crystal.

Cell and atoms, written as extended XYZ:
```
9
Lattice="-2.386 3.399 7.117 2.386 -3.399 7.117 2.386 3.399 -7.117" Properties=species:S:1:pos:R:3 pbc="T T T"
Sc 2.386 1.617 -2.214
Sc 0.000 1.545 0.000
Sc 2.386 1.617 2.214
Sc 0.000 1.781 4.903
Sc 0.000 5.253 0.000
Sc 0.000 1.781 9.331
Tl 2.386 0.000 4.723
Tl 0.000 3.399 2.394
Pt 2.386 0.000 0.000
```

Properties
As for the space-group type: Immm. The calculation puts the energy above the most stable polymorph in this dataset at 198.0 meV/atom.

---

(5)
Density functional theory data (GGA-PBE) for a relaxed La5ThZn6 crystal.

Cell and atoms, written as extended XYZ:
```
12
Lattice="2.642 -7.938 0.000 2.642 7.938 0.000 0.000 0.000 7.493" Properties=species:S:1:pos:R:3 pbc="T T T"
La 0.000 0.000 0.000
La 2.642 2.665 0.000
La 2.642 2.639 3.746
La 2.642 -2.639 3.746
La 2.642 -2.665 0.000
Th 0.000 0.000 3.746
Zn 2.642 5.344 1.898
Zn 2.642 5.344 5.595
Zn 2.642 0.000 1.912
Zn 2.642 0.000 5.581
Zn 2.642 -5.344 1.898
Zn 2.642 -5.344 5.595
```

Properties
As for the space-group type: Cmmm.

---

(6)
Density functional theory data (GGA-PBE) for a relaxed Ti2TlIrS crystal.

Cell and atoms, written as extended XYZ:
```
5
Lattice="4.822 0.000 0.000 0.000 4.822 0.000 0.000 0.000 5.164" Properties=species:S:1:pos:R:3 pbc="T T T"
Ti 0.000 2.411 0.000
Ti 2.411 0.000 0.000
Tl 0.000 0.000 2.582
Ir 0.000 0.000 0.000
S 2.411 2.411 2.582
```

Properties
As for the space-group type: P4/mmm. The value obtained for the formation energy from raw total energies is 333 meV/atom.

---

(7)
Density functional theory data (GGA-PBE) for a relaxed TlCu2SeF2 crystal.

Cell and atoms, written as extended XYZ:
```
12
Lattice="5.513 0.000 0.000 0.000 5.168 0.000 -2.708 0.000 8.370" Properties=species:S:1:pos:R:3 pbc="T T T"
Tl -0.179 1.292 3.340
Tl 2.983 3.876 5.030
Cu 0.084 0.014 7.019
Cu 0.084 2.570 7.019
Cu 2.720 2.598 1.351
Cu 2.720 5.155 1.351
Se 1.244 3.876 0.056
Se 1.560 1.292 8.314
F -1.173 1.292 5.756
F 0.212 3.876 5.393
F 2.593 1.292 2.977
F 3.977 3.876 2.614
```

Properties
As for the space-group type: P2_1/m. The value obtained for the formation energy from raw total energies is -947 meV/atom.

---

(8)
Density functional theory data (GGA-PBE) for a relaxed V2CrH6 crystal.

Cell and atoms, written as extended XYZ:
```
9
Lattice="-1.468 2.091 4.428 1.468 -2.091 4.428 1.468 2.091 -4.428" Properties=species:S:1:pos:R:3 pbc="T T T"
V 0.000 0.000 1.471
V 0.000 0.000 7.386
Cr 0.000 0.000 4.428
H 1.468 1.066 -1.461
H 0.000 1.072 0.000
H 1.468 1.066 1.461
H 0.000 1.025 2.967
H 0.000 3.109 0.000
H 0.000 1.025 5.889
```

Properties
As for the space-group type: Immm.

---

For the records above, the corresponding calculated density values read 15.014 11.738 10.599 6.282 6.968 7.252 6.246 4.885 g/cm³.
For the records above, the corresponding uncorrected energy values read -9.9314 -9.1341 -9.2915 -5.7089 -3.5935 -5.8959 -3.9118 -5.4731 eV/atom.